1.
AlBi after structural relaxation. Source: the Alexandria database, functional GGA-PBE.

Results
As for the energy of formation from the pure elements: 0.237 eV/atom. For the magnetic moment, the calculation gives 0.00 μB per formula unit. The electronic total energy comes out at -3.5751 eV per atom. Its density of states at the Fermi level is 0.05 states/eV per atom.

Geometry as CIF:
```
data_AlBi
_cell_length_a 8.1240
_cell_length_b 8.2794
_cell_length_c 9.3188
_cell_angle_alpha 90.00
_cell_angle_beta 90.00
_cell_angle_gamma 90.00
_space_group_name_H-M_alt 'P 21 21 21'
_space_group_IT_number 19
_space_group_name_Hall 'P 2ac 2ab'
loop_
_atom_site_label
_atom_site_type_symbol
_atom_site_fract_x
_atom_site_fract_y
_atom_site_fract_z
Al1 Al 0.1246 0.0653 0.2429
Al2 Al 0.1507 0.6070 0.9663
Bi1 Bi 0.1727 0.4035 0.2082
Bi2 Bi 0.1972 0.1016 0.5358
```



2.
Mg2SnO4 after structural relaxation. Source: the Alexandria database, functional GGA-PBE.

Results
For the magnetic moment, the calculation gives 0.00 μB per formula unit. As for the energy above the lowest structure with this stoichiometry: 0.0 meV per atom. The electronic total energy comes out at -6.1438 eV per atom. Its density of states at the Fermi level is 0.00 states/eV per atom. The uncorrected formation energy is -52.7 kcal/mol of atoms.

Geometry as CIF:
```
data_Mg2SnO4
_cell_length_a 6.1862
_cell_length_b 6.1862
_cell_length_c 8.7501
_cell_angle_alpha 90.00
_cell_angle_beta 90.00
_cell_angle_gamma 90.00
_space_group_name_H-M_alt 'P 41 2 2'
_space_group_IT_number 91
_space_group_name_Hall 'P 4w 2c'
loop_
_atom_site_label
_atom_site_type_symbol
_atom_site_fract_x
_atom_site_fract_y
_atom_site_fract_z
Mg1 Mg 0.0000 0.2330 0.0000
Mg2 Mg 0.2511 0.2511 0.3750
Sn1 Sn 0.2343 0.5000 0.7500
O1 O 0.0127 0.2526 0.7579
O2 O 0.2544 0.4786 0.9907
```



3.
Ho5Mg5Cd2 after structural relaxation. Source: the Alexandria database, functional GGA-PBE.

Results
As for the energy of formation from the pure elements: -0.038 eV/atom. For the magnetic moment, the calculation gives 0.00 μB per formula unit. The electronic total energy comes out at -2.7627 eV per atom. Its density of states at the Fermi level is 1.01 states/eV per atom.

Geometry as CIF:
```
data_Ho5Mg5Cd2
_cell_length_a 9.0576
_cell_length_b 5.2210
_cell_length_c 14.1005
_cell_angle_alpha 90.00
_cell_angle_beta 102.28
_cell_angle_gamma 90.00
_space_group_name_H-M_alt 'C 1 2/m 1'
_space_group_IT_number 12
_space_group_name_Hall '-C 2y'
loop_
_atom_site_label
_atom_site_type_symbol
_atom_site_fract_x
_atom_site_fract_y
_atom_site_fract_z
Ho1 Ho 0.0000 0.0000 0.0000
Ho2 Ho 0.1047 0.5000 0.8157
Ho3 Ho 0.1445 0.0000 0.4327
Mg1 Mg 0.0000 0.5000 0.5000
Mg2 Mg 0.1930 0.5000 0.0775
Mg3 Mg 0.2264 0.0000 0.6806
Cd1 Cd 0.0731 0.0000 0.2171
```



4.
GaHCl3 after structural relaxation. Source: the Alexandria database, functional GGA-PBE.

Results
For the magnetic moment, the calculation gives 0.23 μB per formula unit. As for the energy above the lowest structure with this stoichiometry: 49.8 meV per atom. The electronic total energy comes out at -2.7703 eV per atom. Its density of states at the Fermi level is 0.28 states/eV per atom.

Geometry as CIF:
```
data_GaHCl3
_cell_length_a 5.5270
_cell_length_b 11.6391
_cell_length_c 7.9884
_cell_angle_alpha 90.00
_cell_angle_beta 90.00
_cell_angle_gamma 90.00
_space_group_name_H-M_alt 'I m m a'
_space_group_IT_number 74
_space_group_name_Hall '-I 2b 2'
loop_
_atom_site_label
_atom_site_type_symbol
_atom_site_fract_x
_atom_site_fract_y
_atom_site_fract_z
Ga1 Ga 0.2500 0.2500 0.2500
H1 H 0.0000 0.2500 0.1267
Cl1 Cl 0.0000 0.2500 0.4971
Cl2 Cl 0.2500 0.0420 0.2500
```



5.
KVZnSn2 after structural relaxation. Source: the Alexandria database, functional GGA-PBE.

Results
As for the energy of formation from the pure elements: 1.893 eV/atom. For the magnetic moment, the calculation gives 0.01 μB per formula unit. The electronic total energy comes out at -2.0065 eV per atom. Its density of states at the Fermi level is 1.51 states/eV per atom.

Geometry as CIF:
```
data_KVZnSn2
_cell_length_a 5.7811
_cell_length_b 5.7811
_cell_length_c 4.5996
_cell_angle_alpha 90.00
_cell_angle_beta 90.00
_cell_angle_gamma 90.00
_space_group_name_H-M_alt 'P 4/m m m'
_space_group_IT_number 123
_space_group_name_Hall '-P 4 2'
loop_
_atom_site_label
_atom_site_type_symbol
_atom_site_fract_x
_atom_site_fract_y
_atom_site_fract_z
K1 K 0.0000 0.0000 0.0000
V1 V 0.0000 0.0000 0.5000
Zn1 Zn 0.5000 0.5000 0.5000
Sn1 Sn 0.0000 0.5000 0.0000
```



6.
RbThIr2O8 after structural relaxation. Source: the Alexandria database, functional GGA-PBE.

Results
For the magnetic moment, the calculation gives 0.00 μB per formula unit. The electronic total energy comes out at -6.7857 eV per atom. Its density of states at the Fermi level is 0.91 states/eV per atom. The uncorrected formation energy is -30.1 kcal/mol of atoms.

Geometry as CIF:
```
data_RbThIr2O8
_cell_length_a 5.9904
_cell_length_b 5.9904
_cell_length_c 8.1816
_cell_angle_alpha 90.00
_cell_angle_beta 90.00
_cell_angle_gamma 120.00
_space_group_name_H-M_alt 'P -3'
_space_group_IT_number 147
_space_group_name_Hall '-P 3'
loop_
_atom_site_label
_atom_site_type_symbol
_atom_site_fract_x
_atom_site_fract_y
_atom_site_fract_z
Rb1 Rb 0.0000 0.0000 0.0000
Th1 Th 0.0000 0.0000 0.5000
Ir1 Ir 0.3333 0.6667 0.7754
O1 O 0.1706 0.3444 0.6729
O2 O 0.3333 0.6667 0.9914
```



7.
Pr2Y4Mg after structural relaxation. Source: the Alexandria database, functional GGA-PBE.

Results
As for the energy of formation from the pure elements: 0.151 eV/atom. For the magnetic moment, the calculation gives 0.00 μB per formula unit. The electronic total energy comes out at -5.1357 eV per atom. Its density of states at the Fermi level is 1.38 states/eV per atom.

Geometry as CIF:
```
data_Pr2Y4Mg
_cell_length_a 6.4425
_cell_length_b 12.3083
_cell_length_c 6.5658
_cell_angle_alpha 90.00
_cell_angle_beta 116.00
_cell_angle_gamma 90.00
_space_group_name_H-M_alt 'P 1 21/c 1'
_space_group_IT_number 14
_space_group_name_Hall '-P 2ybc'
loop_
_atom_site_label
_atom_site_type_symbol
_atom_site_fract_x
_atom_site_fract_y
_atom_site_fract_z
Pr1 Pr 0.2132 0.0607 0.4312
Y1 Y 0.0814 0.1658 0.8694
Y2 Y 0.4086 0.7276 0.1678
Mg1 Mg 0.5000 0.0000 0.0000
```



8.
Cs3Er2HfSe6 after structural relaxation. Source: the Alexandria database, functional GGA-PBE.

Results
For the magnetic moment, the calculation gives 0.00 μB per formula unit. The electronic total energy comes out at -5.0820 eV per atom. Its density of states at the Fermi level is 0.32 states/eV per atom. The uncorrected formation energy is -35.4 kcal/mol of atoms.

Geometry as CIF:
```
data_Cs3Er2HfSe6
_cell_length_a 7.1503
_cell_length_b 12.3842
_cell_length_c 8.7095
_cell_angle_alpha 90.00
_cell_angle_beta 105.89
_cell_angle_gamma 90.00
_space_group_name_H-M_alt 'C 1 2/m 1'
_space_group_IT_number 12
_space_group_name_Hall '-C 2y'
loop_
_atom_site_label
_atom_site_type_symbol
_atom_site_fract_x
_atom_site_fract_y
_atom_site_fract_z
Cs1 Cs 0.0000 0.0000 0.0000
Cs2 Cs 0.0000 0.3301 0.0000
Er1 Er 0.0000 0.1663 0.5000
Hf1 Hf 0.0000 0.5000 0.5000
Se1 Se 0.2206 0.3403 0.6828
Se2 Se 0.2423 0.0000 0.6842
```



9.
TlB3S after structural relaxation. Source: the Alexandria database, functional GGA-PBE.

Results
For the magnetic moment, the calculation gives 0.00 μB per formula unit. As for the energy above the lowest structure with this stoichiometry: 0.0 meV per atom. The electronic total energy comes out at -3.5924 eV per atom. Its density of states at the Fermi level is 0.38 states/eV per atom. The uncorrected formation energy is 39.5 kcal/mol of atoms.

Geometry as CIF:
```
data_TlB3S
_cell_length_a 3.9993
_cell_length_b 3.9993
_cell_length_c 3.9993
_cell_angle_alpha 90.00
_cell_angle_beta 90.00
_cell_angle_gamma 90.00
_space_group_name_H-M_alt 'P m -3 m'
_space_group_IT_number 221
_space_group_name_Hall '-P 4 2 3'
loop_
_atom_site_label
_atom_site_type_symbol
_atom_site_fract_x
_atom_site_fract_y
_atom_site_fract_z
Tl1 Tl 0.0000 0.0000 0.0000
B1 B 0.0000 0.5000 0.5000
S1 S 0.5000 0.5000 0.5000
```



10.
PmNdSmTh after structural relaxation. Source: the Alexandria database, functional GGA-PBE.

Results
As for the energy of formation from the pure elements: 0.182 eV/atom. For the magnetic moment, the calculation gives 0.00 μB per formula unit. As for the energy above the lowest structure with this stoichiometry: 152.4 meV per atom. The electronic total energy comes out at -5.2319 eV per atom. Its density of states at the Fermi level is 2.44 states/eV per atom.

Geometry as CIF:
```
data_PmNdSmTh
_cell_length_a 8.1577
_cell_length_b 8.1577
_cell_length_c 8.1577
_cell_angle_alpha 90.00
_cell_angle_beta 90.00
_cell_angle_gamma 90.00
_space_group_name_H-M_alt 'F -4 3 m'
_space_group_IT_number 216
_space_group_name_Hall 'F -4 2 3'
loop_
_atom_site_label
_atom_site_type_symbol
_atom_site_fract_x
_atom_site_fract_y
_atom_site_fract_z
Pm1 Pm 0.0000 0.0000 0.0000
Nd1 Nd 0.2500 0.2500 0.7500
Sm1 Sm 0.0000 0.0000 0.5000
Th1 Th 0.2500 0.2500 0.2500
```